[1]
This record from the Alexandria database describes an optimized crystal structure of SbMo2W. The functional is GGA-PBE.

Raw formation energy = 0.413 eV per atom

Lattice parameters (Å, degrees): 2.911 2.911 8.843 90.00 90.00 110.13
Sites, in units of the cell vectors:
Mo1 0.000 0.000 0.514
Mo2 0.000 0.000 0.986
Sb1 0.500 0.500 0.250
W1 0.500 0.500 0.750

---

[2]
This record from the Alexandria database describes an optimized crystal structure of SbMoW2. The functional is GGA-PBE.

Raw formation energy = 0.452 eV per atom

Lattice parameters (Å, degrees): 4.183 3.059 6.259 60.77 90.00 90.00
Sites, in units of the cell vectors:
Mo1 0.000 0.518 0.485
W1 0.500 0.240 0.244
W2 0.000 0.984 0.026
Sb1 0.500 0.758 0.744

---

Repeat the first record exactly.
This record from the Alexandria database describes an optimized crystal structure of SbMo2W. The functional is GGA-PBE.

Raw formation energy = 0.413 eV per atom

Lattice parameters (Å, degrees): 2.911 2.911 8.843 90.00 90.00 110.13
Sites, in units of the cell vectors:
Mo1 0.000 0.000 0.514
Mo2 0.000 0.000 0.986
Sb1 0.500 0.500 0.250
W1 0.500 0.500 0.750